Compound: DyCr2BiO8
Source: Alexandria via LeMat-Bulk
Functional: PBE+U
Structure: relaxed

abc: 6.072 6.072 6.072
angles: 105.98 105.98 116.71
Fractional coordinates of all 12 atoms:
Dy (0.000, 0.000, 0.000)
Cr (0.250, 0.750, 0.500)
Cr (0.500, 0.500, 0.000)
Bi (0.750, 0.250, 0.500)
O (0.081, 0.396, 0.315)
O (0.081, 0.766, 0.685)
O (0.145, 0.323, 0.821)
O (0.234, 0.919, 0.315)
O (0.502, 0.323, 0.179)
O (0.604, 0.919, 0.685)
O (0.677, 0.498, 0.821)
O (0.677, 0.855, 0.179)

Summary:
**Density of states at the Fermi level**: 0.071 states/eV/atom
**Uncorrected energy**: -84.824 eV/f.u.
**Magnetic moment**: 0.17 μB per atom